Computed, not measured: crystalline Zr5Ti at its relaxed geometry at the GGA-PBE level of DFT.

## Properties
The calculation puts the energy at -8.3737 eV per atom. Its space group is Cmmm. The formation energy is 0.066 eV/atom.

Lattice parameters (Å, degrees): 4.433 4.462 7.106 108.30 90.00 90.00
Fractional positions:
Zr (0.000, 0.664, 0.327)
Zr (0.000, 0.336, 0.673)
Zr (0.500, 0.500, 0.000)
Zr (0.500, 0.163, 0.326)
Zr (0.500, 0.837, 0.674)
Ti (0.000, 0.000, 0.000)

---

Computed, not measured: crystalline BaZnGe2As at its relaxed geometry at the GGA-PBE level of DFT.

## Properties
The calculation puts the energy at -2.1446 eV per atom. Its space group is P4/mmm. The formation energy is 1.272 eV/atom.

Lattice parameters (Å, degrees): 6.030 5.811 6.030 90.00 90.00 90.00
Fractional positions:
Zn (0.500, 0.500, 0.500)
As (0.000, 0.500, 0.000)
Ge (0.000, 0.000, 0.500)
Ge (0.500, 0.000, 0.000)
Ba (0.000, 0.000, 0.000)

---

Computed, not measured: crystalline PaSeIO at its relaxed geometry at the GGA-PBE level of DFT.

## Properties
The calculation puts the energy at -6.8880 eV per atom. Its space group is Cm.

Lattice parameters (Å, degrees): 3.903 3.903 8.324 90.07 103.48 120.00
Fractional positions:
Pa (0.489, 0.609, 0.099)
Se (0.005, 0.866, 0.871)
I (0.360, 0.045, 0.406)
O (0.838, 0.283, 0.121)